VASP calculation (PBE) on crystalline DyHfCuAu at its relaxed geometry.

Properties
- E_tot (eV/atom) = -5.80
- N(E_F) (states/eV/f.u.) = 5.0
- ΔE_f (eV per atom) = -0.31

```
4
Lattice="0.000 3.436 3.436 3.436 0.000 3.436 3.436 3.436 0.000" Properties=species:S:1:pos:R:3 pbc="T T T"
Dy 0.000 0.000 0.000
Hf 3.436 3.436 3.436
Cu 5.154 5.154 5.154
Au 1.718 1.718 1.718
```